Density functional theory data (GGA-PBE) for BeSbMo2 after structural relaxation.

Geometry as POSCAR:
```
BeSbMo2
1.0
0.000 3.147 3.147
3.147 0.000 3.147
3.147 3.147 0.000
Be Sb Mo
1 1 2
Direct
0.000 0.000 0.000 Be
0.250 0.250 0.250 Sb
0.500 0.500 0.500 Mo
0.750 0.750 0.750 Mo
```

---

Density functional theory data (GGA-PBE) for BeSb2Mo after structural relaxation.

Geometry as POSCAR:
```
BeSb2Mo
1.0
4.516 -1.652 0.000
4.516 1.652 0.000
-0.401 0.000 5.106
Be Sb Mo
1 2 1
Direct
0.000 0.000 0.000 Be
0.223 0.223 0.741 Sb
0.777 0.777 0.259 Sb
0.500 0.500 0.500 Mo
```

---

Density functional theory data (GGA-PBE) for BeSb2Mo after structural relaxation.

Geometry as POSCAR:
```
BeSb2Mo
1.0
3.469 0.000 0.000
0.000 3.435 0.000
-1.222 0.000 6.180
Be Sb Mo
1 2 1
Direct
0.000 0.000 0.000 Be
0.422 0.500 0.249 Sb
0.578 0.500 0.751 Sb
0.000 0.000 0.500 Mo
```

---

Density functional theory data (GGA-PBE) for BeSb2Mo after structural relaxation.

Geometry as POSCAR:
```
BeSb2Mo
1.0
-2.985 2.985 5.948
2.985 -2.985 5.948
2.985 2.985 -5.948
Be Sb Mo
2 4 2
Direct
0.000 0.000 0.000 Be
0.750 0.250 0.500 Be
0.095 0.625 0.970 Sb
0.375 0.345 0.470 Sb
0.655 0.125 0.030 Sb
0.875 0.905 0.530 Sb
0.250 0.750 0.500 Mo
0.500 0.500 0.000 Mo
```

---

Number 1: uncorrected formation energy 0.38 eV per atom, size of the total moment 0.000 μB per cell. Number 2: uncorrected formation energy 0.53 eV per atom, size of the total moment 0.000 μB per cell. Number 3: uncorrected formation energy 0.37 eV per atom, size of the total moment 0.000 μB per cell. Number 4: uncorrected formation energy 0.68 eV per atom, size of the total moment 3.987 μB per cell.